Entry 1:
The following is a PBE calculation of BiHN2 after structural relaxation, from the Alexandria database.

Results
As for the total magnetization: 1.4 μB per cell. As for the space group: Fm-3m (225). As for the polymorph energy (0 for the lowest one): 1046 meV per atom. The total DFT energy (no corrections) comes out at -4.14 eV per atom.

Geometry as POSCAR:
```
BiHN2
1.0
0.0000 2.8112 2.8112
2.8112 0.0000 2.8112
2.8112 2.8112 0.0000
Bi H N
1 1 2
Cartesian
0.0000 0.0000 0.0000 Bi
2.8112 2.8112 2.8112 H
1.4056 1.4056 1.4056 N
4.2167 4.2167 4.2167 N
```

=====

Entry 2:
The following is a PBE calculation of BiHN2 after structural relaxation, from the Alexandria database.

Results
As for the total magnetization: 0.0 μB per cell. As for the space group: R-3m (166). As for the polymorph energy (0 for the lowest one): 1078 meV per atom. The total DFT energy (no corrections) comes out at -4.11 eV per atom.

Geometry as POSCAR:
```
BiHN2
1.0
1.6210 0.9359 5.4459
-1.6210 0.9359 5.4459
0.0000 -1.8717 5.4459
Bi H N
1 1 2
Cartesian
0.0000 0.0000 0.0000 Bi
0.0000 0.0000 8.1689 H
0.0000 0.0000 2.4992 N
0.0000 0.0000 13.8386 N
```

=====

Entry 3:
The following is a PBE calculation of BiH4N2 after structural relaxation, from the Alexandria database.

Results
As for the total magnetization: 2.4 μB per cell. As for the space group: I4/mmm (139). The total DFT energy (no corrections) comes out at -3.70 eV per atom.

Geometry as POSCAR:
```
BiH4N2
1.0
-1.9192 1.9192 6.1998
1.9192 -1.9192 6.1998
1.9192 1.9192 -6.1998
Bi H N
1 4 2
Cartesian
0.0000 0.0000 0.0000 Bi
1.9192 0.0000 0.0000 H
0.0000 0.0000 3.6088 H
0.0000 1.9192 0.0000 H
0.0000 0.0000 8.7908 H
0.0000 0.0000 4.6562 N
0.0000 0.0000 7.7433 N
```

=====

For the records above, the corresponding mass density values read 8.9, 8.0, 4.4 g cm⁻³.